Entry 1:
VASP calculation (PBE-GGA) on an optimized crystal structure of NdF3. Values from VASP.

```
&SYSTEM
  ibrav = 0, nat = 24, ntyp = 2
/
ATOMIC_SPECIES
Nd 144.24 Nd.upf
F 19.00 F.upf
CELL_PARAMETERS angstrom
7.1016 0.0000 0.0000
-3.5508 6.1502 0.0000
0.0000 0.0000 7.0730
ATOMIC_POSITIONS crystal
Nd 0.0000 0.3297 0.2500
Nd 0.0000 0.6703 0.7500
Nd 0.3297 0.0000 0.2500
Nd 0.3297 0.3297 0.7500
Nd 0.6703 0.0000 0.7500
Nd 0.6703 0.6703 0.2500
F 0.0000 0.0000 0.0000
F 0.0000 0.0000 0.5000
F 0.0000 0.3439 0.5837
F 0.0000 0.3439 0.9163
F 0.0000 0.6561 0.0837
F 0.0000 0.6561 0.4163
F 0.3333 0.6667 0.2500
F 0.3333 0.6667 0.7500
F 0.3439 0.0000 0.5837
F 0.3439 0.0000 0.9163
F 0.3439 0.3439 0.0837
F 0.3439 0.3439 0.4163
F 0.6561 0.0000 0.0837
F 0.6561 0.0000 0.4163
F 0.6561 0.6561 0.5837
F 0.6561 0.6561 0.9163
F 0.6667 0.3333 0.2500
F 0.6667 0.3333 0.7500
```

Values from the calculation:
Energy relative to the elements, uncorrected in eV/atom: -3.928



Entry 2:
VASP calculation (PBE-GGA) on an optimized crystal structure of Nd3F. Values from VASP.

```
&SYSTEM
  ibrav = 0, nat = 4, ntyp = 2
/
ATOMIC_SPECIES
Nd 144.24 Nd.upf
F 19.00 F.upf
CELL_PARAMETERS angstrom
-1.7192 5.2347 3.0835
1.7192 -5.2347 3.0835
1.7192 5.2347 -3.0835
ATOMIC_POSITIONS crystal
Nd 0.0000 0.0000 0.0000
Nd 0.3060 0.4830 0.8231
Nd 0.6599 0.4830 0.1769
F 0.6707 0.1707 0.5000
```

Values from the calculation:
Energy relative to the elements, uncorrected in eV/atom: -0.958



Entry 3:
VASP calculation (PBE-GGA) on an optimized crystal structure of NdF5. Values from VASP.

```
&SYSTEM
  ibrav = 0, nat = 6, ntyp = 2
/
ATOMIC_SPECIES
Nd 144.24 Nd.upf
F 19.00 F.upf
CELL_PARAMETERS angstrom
2.1089 -3.7804 0.0000
2.1089 3.7804 0.0000
0.0000 0.0000 4.5969
ATOMIC_POSITIONS crystal
Nd 0.0000 0.0000 0.0000
F 0.1408 0.8592 0.5000
F 0.3343 0.6657 0.0000
F 0.5000 0.5000 0.5000
F 0.6657 0.3343 0.0000
F 0.8592 0.1408 0.5000
```

Values from the calculation:
Energy relative to the elements, uncorrected in eV/atom: -2.458



Entry 4:
VASP calculation (PBE-GGA) on an optimized crystal structure of NdF3. Values from VASP.

```
&SYSTEM
  ibrav = 0, nat = 24, ntyp = 2
/
ATOMIC_SPECIES
Nd 144.24 Nd.upf
F 19.00 F.upf
CELL_PARAMETERS angstrom
7.0842 0.0000 0.0000
-3.5421 6.1351 0.0000
0.0000 0.0000 7.2687
ATOMIC_POSITIONS crystal
Nd 0.0000 0.3444 0.2500
Nd 0.0000 0.6556 0.7500
Nd 0.3444 0.0000 0.2500
Nd 0.3444 0.3444 0.7500
Nd 0.6556 0.0000 0.7500
Nd 0.6556 0.6556 0.2500
F 0.0000 0.0000 0.2500
F 0.0000 0.0000 0.7500
F 0.0642 0.3726 0.5802
F 0.0642 0.6916 0.0802
F 0.3084 0.3726 0.0802
F 0.3084 0.9358 0.5802
F 0.3333 0.6667 0.3177
F 0.3333 0.6667 0.8177
F 0.3726 0.0642 0.9198
F 0.3726 0.3084 0.4198
F 0.6274 0.6916 0.5802
F 0.6274 0.9358 0.0802
F 0.6667 0.3333 0.1823
F 0.6667 0.3333 0.6823
F 0.6916 0.0642 0.4198
F 0.6916 0.6274 0.9198
F 0.9358 0.3084 0.9198
F 0.9358 0.6274 0.4198
```

Values from the calculation:
Energy relative to the elements, uncorrected in eV/atom: -4.101



Entry 5:
VASP calculation (PBE-GGA) on an optimized crystal structure of NdF3. Values from VASP.

```
&SYSTEM
  ibrav = 0, nat = 4, ntyp = 2
/
ATOMIC_SPECIES
Nd 144.24 Nd.upf
F 19.00 F.upf
CELL_PARAMETERS angstrom
-1.8514 3.2139 2.4581
1.8514 -3.2139 2.4581
1.8514 3.2139 -2.4581
ATOMIC_POSITIONS crystal
Nd 0.0000 0.0000 0.0000
F 0.0016 0.2982 0.7034
F 0.2780 0.7780 0.5000
F 0.5948 0.2982 0.2966
```

Values from the calculation:
Energy relative to the elements, uncorrected in eV/atom: -3.985